A plane-wave DFT calculation with GGA-PBE was carried out for a geometry-optimized Sm2Y5Pu structure.

ΔH_f (0 K)   0.173 eV per atom
Magnetic moment   12.50 Bohr magnetons per cell
DOS at the Fermi energy   18.56 states/eV/f.u.
Final energy   -0.503 Ry per atom
V   32.212 A^3/atom
Space group   P-1, No. 2

Cell: 6.647 6.639 16.685 Å, 59.91 59.82 90.66°
Each line ends with the local moment (μB).
Atoms (fractional coordinates):
Pu  0.961  0.038  0.750  5.61
Pu  0.039  0.962  0.250  5.61
Y  0.599  0.402  0.750  -0.01
Y  0.019  0.799  0.967  0.01
Y  0.080  0.489  0.775  0.03
Y  0.489  0.078  0.275  0.03
Y  0.401  0.598  0.250  -0.01
Y  0.201  0.980  0.533  0.01
Y  0.799  0.020  0.467  0.01
Y  0.511  0.922  0.725  0.03
Y  0.920  0.511  0.225  0.03
Y  0.981  0.201  0.033  0.01
Sm  0.500  0.000  0.000  -0.01
Sm  0.000  0.500  0.500  -0.01
Sm  0.500  0.500  0.500  0.10
Sm  0.500  0.500  0.000  0.10